# 1
# BaTcPd2 (PBE-GGA, optimized geometry)
data_BaTcPd2
_symmetry_space_group_name_H-M 'F m -3 m'
_symmetry_Int_Tables_number 225
_symmetry_space_group_name_Hall '-F 4 2 3'
_cell_length_a 7.0381
_cell_length_b 7.0381
_cell_length_c 7.0381
_cell_angle_alpha 90.00
_cell_angle_beta 90.00
_cell_angle_gamma 90.00
loop_
_atom_site_label
_atom_site_fract_x
_atom_site_fract_y
_atom_site_fract_z
_atom_site_occupancy
Ba1 0.0000 0.0000 0.0000 1
Tc1 0.0000 0.0000 0.5000 1
Pd1 0.2500 0.2500 0.2500 1
# * energy of formation: 0.48 eV per atom
# * calculated volume: 349 Å³/cell
# * crystal system: cubic
# * excess energy over the best structure of this formula in the dataset: 0.17 eV/f.u.


# 2
# SrZrZn3 (PBE-GGA, optimized geometry)
data_SrZrZn3
_symmetry_space_group_name_H-M 'P m -3 m'
_symmetry_Int_Tables_number 221
_symmetry_space_group_name_Hall '-P 4 2 3'
_cell_length_a 5.2533
_cell_length_b 5.2533
_cell_length_c 5.2533
_cell_angle_alpha 90.00
_cell_angle_beta 90.00
_cell_angle_gamma 90.00
loop_
_atom_site_label
_atom_site_fract_x
_atom_site_fract_y
_atom_site_fract_z
_atom_site_occupancy
Sr1 0.0000 0.0000 0.0000 1
Zr1 0.5000 0.5000 0.5000 1
Zn1 0.0000 0.5000 0.5000 1
# * energy of formation: 0.34 eV per atom
# * calculated volume: 145 Å³/cell
# * crystal system: cubic
# * excess energy over the best structure of this formula in the dataset: 0.00 eV/f.u.


# 3
# Mg2SiAu (PBE-GGA, optimized geometry)
data_Mg2SiAu
_symmetry_space_group_name_H-M 'I m m 2'
_symmetry_Int_Tables_number 44
_symmetry_space_group_name_Hall 'I 2 -2'
_cell_length_a 3.3665
_cell_length_b 4.4718
_cell_length_c 9.9179
_cell_angle_alpha 90.00
_cell_angle_beta 90.00
_cell_angle_gamma 90.00
loop_
_atom_site_label
_atom_site_fract_x
_atom_site_fract_y
_atom_site_fract_z
_atom_site_occupancy
Mg1 0.0000 0.0000 0.0000 1
Mg2 0.0000 0.5000 0.2150 1
Si1 0.0000 0.5000 0.7607 1
Au1 0.0000 0.0000 0.4650 1
# * formation energy (no corrections): -0.1776 eV per atom
# * calculated volume: 149 Å³/cell
# * crystal system: orthorhombic


# 4
# Pu3Be2Si4 (PBE-GGA, optimized geometry)
data_Pu3Be2Si4
_symmetry_space_group_name_H-M 'C 1 2/m 1'
_symmetry_Int_Tables_number 12
_symmetry_space_group_name_Hall '-C 2y'
_cell_length_a 10.5987
_cell_length_b 3.9166
_cell_length_c 7.8913
_cell_angle_alpha 90.00
_cell_angle_beta 98.63
_cell_angle_gamma 90.00
loop_
_atom_site_label
_atom_site_fract_x
_atom_site_fract_y
_atom_site_fract_z
_atom_site_occupancy
Pu1 0.0000 0.0000 0.0000 1
Pu2 0.1630 0.5000 0.6677 1
Be1 0.1103 0.5000 0.2814 1
Si1 0.0608 0.0000 0.3838 1
Si2 0.2166 0.5000 0.0640 1
# * formation energy (no corrections): -0.4219 eV per atom
# * calculated volume: 324 Å³/cell
# * crystal system: monoclinic
# * excess energy over the best structure of this formula in the dataset: 0.00 eV/f.u.


# 5
# NdPu2H6 (PBE-GGA, optimized geometry)
data_NdPu2H6
_symmetry_space_group_name_H-M 'I m m m'
_symmetry_Int_Tables_number 71
_symmetry_space_group_name_Hall '-I 2 2'
_cell_length_a 3.7798
_cell_length_b 5.3503
_cell_length_c 11.3986
_cell_angle_alpha 90.00
_cell_angle_beta 90.00
_cell_angle_gamma 90.00
loop_
_atom_site_label
_atom_site_fract_x
_atom_site_fract_y
_atom_site_fract_z
_atom_site_occupancy
Nd1 0.0000 0.0000 0.0000 1
Pu1 0.0000 0.0000 0.3317 1
H1 0.0000 0.2390 0.5000 1
H2 0.0000 0.2530 0.1685 1
# * calculated volume: 231 Å³/cell
# * crystal system: orthorhombic
# * calculated total energy: -6.399 eV per atom


# 6
# Pr2ThPaBi4 (PBE-GGA, optimized geometry)
data_Pr2ThPaBi4
_symmetry_space_group_name_H-M 'P 1 2/m 1'
_symmetry_Int_Tables_number 10
_symmetry_space_group_name_Hall '-P 2y'
_cell_length_a 7.9462
_cell_length_b 4.5785
_cell_length_c 7.9755
_cell_angle_alpha 90.00
_cell_angle_beta 109.31
_cell_angle_gamma 90.00
loop_
_atom_site_label
_atom_site_fract_x
_atom_site_fract_y
_atom_site_fract_z
_atom_site_occupancy
Pr1 0.0000 0.0000 0.0000 1
Pr2 0.5000 0.5000 0.0000 1
Th1 0.0000 0.5000 0.5000 1
Pa1 0.5000 0.0000 0.5000 1
Bi1 0.2526 0.0000 0.7448 1
Bi2 0.2562 0.5000 0.2572 1
# * energy of formation: -0.63 eV per atom
# * calculated volume: 274 Å³/cell
# * crystal system: monoclinic